{"formula": "Na2MnZnO4", "functional": "PBE+U", "state": "relaxed", "sg": "P2/m, No. 10", "crystal_system": "monoclinic", "energy_ev_per_cell": -43.2, "magnetic_moment_mub_per_fu": 3.0, "dos_ef_per_ev_cell": 0.28, "lattice": [[5.383, 0.000, 0.000], [0.000, 3.016, 0.000], [-1.862, 0.000, 5.347]], "species": ["Na", "Na", "Mn", "Zn", "O", "O", "O", "O"], "fractional_positions": [[0.000, 0.000, 0.000], [0.500, 0.500, 0.000], [0.000, 0.500, 0.500], [0.500, 0.000, 0.500], [0.208, 0.000, 0.702], [0.242, 0.500, 0.305], [0.758, 0.500, 0.695], [0.792, 0.000, 0.298]]}